[1]
A plane-wave DFT calculation with PBE was carried out for an optimized crystal structure of Na2PmSn3Te6.

The space group is C2/m (No. 12) and the conventional cell measures 7.754, 13.427 and 7.975 Å, with angles of 90.00, 108.90 and 90.00 degrees. The distinct sites, in fractional coordinates, are Na at (0.000, 0.168, 0.000), Pm at (0.000, 0.500, 0.000), Sn at (0.000, 0.000, 0.500), Sn at (0.000, 0.337, 0.500), Te at (0.238, 0.500, 0.741) and Te at (0.247, 0.338, 0.252).

The volume is 785.51 Å³/cell. The calculation puts the calculated total energy at -3.86 eV per atom.

[2]
A plane-wave DFT calculation with PBE was carried out for an optimized crystal structure of TeOsRh3.

The space group is Pm-3m (No. 221) and the conventional cell measures 4.739, 4.739 and 4.739 Å, with angles of 90.00, 90.00 and 90.00 degrees. The distinct sites, in fractional coordinates, are Te at (0.000, 0.000, 0.000), Os at (0.500, 0.500, 0.500) and Rh at (0.000, 0.500, 0.500).

The volume is 106.41 Å³/cell. The calculation puts the calculated total energy at -6.14 eV per atom. The energy above the most stable polymorph in this dataset comes out at 0 meV/atom.

[3]
A plane-wave DFT calculation with PBE was carried out for an optimized crystal structure of Li3NpNi8.

The space group is R3m (No. 160, hexagonal axes) and the conventional cell measures 4.8062, 4.8062 and 23.4901 Å, with angles of 90.00, 90.00 and 120.00 degrees. The distinct sites, in fractional coordinates, are Li at (0.0000, 0.0000, 0.0000), Li at (0.0000, 0.0000, 0.1151), Li at (0.0000, 0.0000, 0.6329), Np at (0.0000, 0.0000, 0.5014), Ni at (0.0000, 0.0000, 0.3148), Ni at (0.0000, 0.0000, 0.8137), Ni at (0.0007, 0.5003, 0.0642) and Ni at (0.1676, 0.3351, 0.8983).

The volume is 469.91 Å³/cell. The calculation puts the calculated total energy at -5.49 eV per atom. For the energy of formation, the calculation gives -0.082 eV/atom.

[4]
A plane-wave DFT calculation with PBE was carried out for an optimized crystal structure of TbPr6Y12.

The space group is R-3m (No. 166, hexagonal axes) and the conventional cell measures 13.4514, 13.4514 and 12.6650 Å, with angles of 90.00, 90.00 and 120.00 degrees. The distinct sites, in fractional coordinates, are Tb at (0.0000, 0.0000, 0.0000), Pr at (0.0405, 0.5202, 0.6175), Y at (0.0000, 0.2571, 0.5000) and Y at (0.0908, 0.1817, 0.2623).

The volume is 1984.60 Å³/cell. The calculation puts the calculated total energy at -5.63 eV per atom. The energy above the most stable polymorph in this dataset comes out at 90 meV/atom. For the energy of formation, the calculation gives 0.207 eV/atom.

[5]
A plane-wave DFT calculation with PBE was carried out for an optimized crystal structure of Pr4Er5.

The space group is I4/mmm (No. 139) and the conventional cell measures 10.814, 10.814 and 5.067 Å, with angles of 90.00, 90.00 and 90.00 degrees. The distinct sites, in fractional coordinates, are Pr at (0.167, 0.167, 0.000), Er at (0.000, 0.000, 0.500) and Er at (0.000, 0.336, 0.500).

The volume is 592.45 Å³/cell. The calculation puts the calculated total energy at -4.64 eV per atom. For the energy of formation, the calculation gives 0.022 eV/atom.

[6]
A plane-wave DFT calculation with PBE was carried out for an optimized crystal structure of Er4SnTe2P.

The space group is P2/m (No. 10) and the conventional cell measures 7.354, 4.222 and 7.436 Å, with angles of 90.00, 109.04 and 90.00 degrees. The distinct sites, in fractional coordinates, are Er at (0.228, 0.000, 0.218), Er at (0.245, 0.500, 0.772), Sn at (0.500, 0.000, 0.000), Te at (0.000, 0.000, 0.500), Te at (0.500, 0.500, 0.500) and P at (0.000, 0.500, 0.000).

The volume is 218.26 Å³/cell. The calculation puts the calculated total energy at -5.48 eV per atom.

[7]
A plane-wave DFT calculation with PBE was carried out for an optimized crystal structure of CdIn2HgPt.

The space group is P4/mmm (No. 123) and the conventional cell measures 5.202, 5.202 and 5.370 Å, with angles of 90.00, 90.00 and 90.00 degrees. The distinct sites, in fractional coordinates, are Cd at (0.000, 0.000, 0.000), In at (0.000, 0.500, 0.500), Hg at (0.500, 0.500, 0.000) and Pt at (0.500, 0.500, 0.500).

The volume is 145.29 Å³/cell. The calculation puts the calculated total energy at -2.64 eV per atom. The energy above the most stable polymorph in this dataset comes out at 103 meV/atom. For the energy of formation, the calculation gives -0.090 eV/atom.

[8]
A plane-wave DFT calculation with PBE was carried out for an optimized crystal structure of ZnOs2Rh.

The space group is P4mm (No. 99) and the conventional cell measures 2.780, 2.780 and 7.363 Å, with angles of 90.00, 90.00 and 90.00 degrees. The distinct sites, in fractional coordinates, are Zn at (0.000, 0.000, 0.000), Os at (0.000, 0.000, 0.496), Os at (0.500, 0.500, 0.259) and Rh at (0.500, 0.500, 0.754).

The volume is 56.92 Å³/cell. The calculation puts the calculated total energy at -7.76 eV per atom. For the energy of formation, the calculation gives 0.016 eV/atom.

[9]
A plane-wave DFT calculation with PBE was carried out for an optimized crystal structure of CeTmPu2Bi4.

The space group is P2/m (No. 10) and the conventional cell measures 5.858, 5.001 and 8.277 Å, with angles of 90.00, 96.54 and 90.00 degrees. The distinct sites, in fractional coordinates, are Ce at (0.000, 0.000, 0.000), Tm at (0.500, 0.500, 0.500), Pu at (0.000, 0.000, 0.500), Pu at (0.500, 0.500, 0.000), Bi at (0.019, 0.500, 0.252) and Bi at (0.492, 0.000, 0.744).

The volume is 240.92 Å³/cell. The calculation puts the calculated total energy at -7.28 eV per atom. For the energy of formation, the calculation gives -0.459 eV/atom.

[10]
A plane-wave DFT calculation with PBE was carried out for an optimized crystal structure of Cu2AsAu2.

The space group is P4/mbm (No. 127) and the conventional cell measures 7.419, 7.419 and 3.005 Å, with angles of 90.00, 90.00 and 90.00 degrees. The distinct sites, in fractional coordinates, are Cu at (0.151, 0.349, 0.000), As at (0.000, 0.000, 0.500) and Au at (0.145, 0.645, 0.500).

The volume is 165.40 Å³/cell. The calculation puts the calculated total energy at -3.75 eV per atom. The energy above the most stable polymorph in this dataset comes out at 33 meV/atom. For the energy of formation, the calculation gives 0.127 eV/atom.

[11]
A plane-wave DFT calculation with PBE was carried out for an optimized crystal structure of Nd7Sm4Y.

The space group is C2/m (No. 12) and the conventional cell measures 12.221, 6.110 and 12.945 Å, with angles of 90.00, 117.91 and 90.00 degrees. The distinct sites, in fractional coordinates, are Nd at (0.000, 0.000, 0.000), Nd at (0.130, 0.500, 0.500), Nd at (0.208, 0.000, 0.921), Nd at (0.242, 0.000, 0.680), Sm at (0.063, 0.000, 0.324), Sm at (0.136, 0.500, 0.777) and Y at (0.000, 0.500, 0.000).

The volume is 854.13 Å³/cell. The calculation puts the calculated total energy at -4.65 eV per atom. The energy above the most stable polymorph in this dataset comes out at 234 meV/atom. For the energy of formation, the calculation gives 0.246 eV/atom.

[12]
A plane-wave DFT calculation with PBE was carried out for an optimized crystal structure of TbLuThZr.

The space group is F-43m (No. 216) and the conventional cell measures 7.717, 7.717 and 7.717 Å, with angles of 90.00, 90.00 and 90.00 degrees. The distinct sites, in fractional coordinates, are Tb at (0.000, 0.000, 0.000), Lu at (0.250, 0.250, 0.250), Th at (0.000, 0.000, 0.500) and Zr at (0.250, 0.250, 0.750).

The volume is 459.54 Å³/cell. The calculation puts the calculated total energy at -6.13 eV per atom. For the energy of formation, the calculation gives 0.147 eV/atom.

[13]
A plane-wave DFT calculation with PBE was carried out for an optimized crystal structure of CeGa2GeRu2.

The space group is P4/mmm (No. 123) and the conventional cell measures 4.554, 4.554 and 5.726 Å, with angles of 90.00, 90.00 and 90.00 degrees. The distinct sites, in fractional coordinates, are Ce at (0.000, 0.000, 0.000), Ga at (0.500, 0.500, 0.236), Ge at (0.000, 0.000, 0.500) and Ru at (0.000, 0.500, 0.500).

The volume is 118.75 Å³/cell. The calculation puts the calculated total energy at -6.04 eV per atom. For the energy of formation, the calculation gives -0.182 eV/atom.

[14]
A plane-wave DFT calculation with PBE was carried out for an optimized crystal structure of FeTeBr2.

The space group is Cmmm (No. 65) and the conventional cell measures 6.732, 8.587 and 3.390 Å, with angles of 90.00, 90.00 and 90.00 degrees. The distinct sites, in fractional coordinates, are Fe at (0.000, 0.000, 0.000), Te at (0.000, 0.500, 0.000) and Br at (0.250, 0.250, 0.500).

The volume is 196.00 Å³/cell. The calculation puts the calculated total energy at -3.07 eV per atom.

[15]
A plane-wave DFT calculation with PBE was carried out for an optimized crystal structure of MnBe2Au.

The space group is I-42d (No. 122) and the conventional cell measures 6.288, 6.288 and 5.195 Å, with angles of 90.00, 90.00 and 90.00 degrees. The distinct sites, in fractional coordinates, are Mn at (0.000, 0.000, 0.000), Be at (0.248, 0.250, 0.625) and Au at (0.000, 0.000, 0.500).

The volume is 205.38 Å³/cell. The calculation puts the calculated total energy at -4.65 eV per atom. For the energy of formation, the calculation gives 0.327 eV/atom.

[16]
A plane-wave DFT calculation with PBE was carried out for an optimized crystal structure of BaLaTlSi2.

The space group is P4/mmm (No. 123) and the conventional cell measures 5.346, 5.346 and 5.972 Å, with angles of 90.00, 90.00 and 90.00 degrees. The distinct sites, in fractional coordinates, are Ba at (0.000, 0.000, 0.000), La at (0.500, 0.500, 0.000), Tl at (0.000, 0.000, 0.500) and Si at (0.000, 0.500, 0.500).

The volume is 170.70 Å³/cell. The calculation puts the calculated total energy at -3.29 eV per atom.

[17]
A plane-wave DFT calculation with PBE was carried out for an optimized crystal structure of RbSrScCl6.

The space group is P-31c (No. 163) and the conventional cell measures 7.2123, 7.2123 and 13.8681 Å, with angles of 90.00, 90.00 and 120.00 degrees. The distinct sites, in fractional coordinates, are Rb at (0.0000, 0.0000, 0.0000), Sr at (0.3333, 0.6667, 0.2500), Sc at (0.3333, 0.6667, 0.7500) and Cl at (0.0407, 0.3920, 0.6445).

The volume is 624.74 Å³/cell. The calculation puts the calculated total energy at -4.46 eV per atom.

[18]
A plane-wave DFT calculation with PBE was carried out for an optimized crystal structure of NbZnH3.

The space group is Pm-3m (No. 221) and the conventional cell measures 3.458, 3.458 and 3.458 Å, with angles of 90.00, 90.00 and 90.00 degrees. The distinct sites, in fractional coordinates, are Nb at (0.000, 0.000, 0.000), Zn at (0.500, 0.500, 0.500) and H at (0.000, 0.500, 0.500).

The volume is 41.34 Å³/cell. The calculation puts the calculated total energy at -3.74 eV per atom.

[19]
A plane-wave DFT calculation with PBE was carried out for an optimized crystal structure of Ti6Co2Pt.

The space group is Immm (No. 71) and the conventional cell measures 8.027, 8.165 and 8.471 Å, with angles of 90.00, 90.00 and 90.00 degrees. The distinct sites, in fractional coordinates, are Ti at (0.000, 0.213, 0.176), Ti at (0.189, 0.210, 0.500), Ti at (0.204, 0.500, 0.258), Co at (0.000, 0.000, 0.359), Co at (0.151, 0.000, 0.000), Pt at (0.000, 0.500, 0.000) and Pt at (0.000, 0.500, 0.500).

The volume is 555.21 Å³/cell. The calculation puts the calculated total energy at -7.92 eV per atom. The energy above the most stable polymorph in this dataset comes out at 0 meV/atom. For the energy of formation, the calculation gives -0.407 eV/atom.

[20]
A plane-wave DFT calculation with PBE was carried out for an optimized crystal structure of SrLiSb2.

The space group is R-3m (No. 166, hexagonal axes) and the conventional cell measures 3.7999, 3.7999 and 27.8371 Å, with angles of 90.00, 90.00 and 120.00 degrees. The distinct sites, in fractional coordinates, are Sr at (0.0000, 0.0000, 0.0000), Li at (0.0000, 0.0000, 0.5000) and Sb at (0.0000, 0.0000, 0.2411).

The volume is 348.10 Å³/cell. The calculation puts the calculated total energy at -3.34 eV per atom. The energy above the most stable polymorph in this dataset comes out at 221 meV/atom.